Below is an optimized crystal structure of KRb2CaCl6, with properties calculated at the PBE level.

The structure belongs to space group R-3m (No. 166, hexagonal axes); the cell edges are 8.0277, 8.0277 and 19.6915 Å and the angles 90.00°, 90.00° and 120.00°. The distinct sites, in fractional coordinates, are K at (0.0000, 0.0000, 0.0000), Rb at (0.0000, 0.0000, 0.2498), Ca at (0.0000, 0.0000, 0.5000) and Cl at (0.0169, 0.5085, 0.2457).

The mass density is 2.098 g/cm³. As for the crystal system: trigonal. For the density of states at the Fermi level, the calculation gives 1.177 states/eV/atom. For the magnetization, the calculation gives 3.000 μB per cell. The energy relative to the elements, uncorrected is -17.7 eV per formula unit. For the total energy, the calculation gives -3.378 eV per atom.